[1]
{
  "formula": "Sr2CoNCl",
  "functional": "PBE-GGA",
  "state": "optimized geometry",
  "lattice_angstrom": [[5.405, 0.000, 0.000], [0.000, 5.405, 0.000], [0.000, 0.000, 3.558]],
  "species": ["Sr", "N", "Cl", "Sr", "Co"],
  "frac_coords": [[0.500, 0.000, 0.000], [0.000, 0.000, 0.000], [0.500, 0.500, 0.500], [0.000, 0.500, 0.000], [0.000, 0.000, 0.500]],
  "magnetic_moment_mub_per_cell": 0.0,
  "raw_formation_energy_ev_per_atom": -0.976,
  "space_group": "No. 123",
  "crystal_system": "tetragonal"
}

[2]
{
  "formula": "CoTcNCl2",
  "functional": "PBE-GGA",
  "state": "optimized geometry",
  "lattice_angstrom": [[4.969, 0.000, 0.000], [0.000, 3.714, 0.000], [0.000, 0.000, 4.969]],
  "species": ["N", "Co", "Cl", "Cl", "Tc"],
  "frac_coords": [[0.000, 0.500, 0.000], [0.500, 0.500, 0.500], [0.000, 0.000, 0.500], [0.500, 0.000, 0.000], [0.000, 0.000, 0.000]],
  "magnetic_moment_mub_per_cell": 1.9,
  "raw_formation_energy_ev_per_atom": 0.629,
  "space_group": "No. 123",
  "crystal_system": "tetragonal"
}

[3]
{
  "formula": "CoTeN2Cl",
  "functional": "PBE-GGA",
  "state": "optimized geometry",
  "lattice_angstrom": [[3.790, 0.000, 0.000], [0.000, 3.790, 0.000], [0.000, 0.000, 5.464]],
  "species": ["N", "N", "Cl", "Te", "Co"],
  "frac_coords": [[0.000, 0.500, 0.000], [0.500, 0.000, 0.000], [0.500, 0.500, 0.500], [0.000, 0.000, 0.500], [0.000, 0.000, 0.000]],
  "relative_energy_mev_per_atom": 0,
  "magnetic_moment_mub_per_cell": 3.0,
  "raw_formation_energy_ev_per_atom": 1.093,
  "space_group": "No. 123",
  "crystal_system": "tetragonal"
}

[4]
{
  "formula": "CoTeN2Cl",
  "functional": "PBE-GGA",
  "state": "optimized geometry",
  "lattice_angstrom": [[3.684, 0.000, 0.000], [0.000, 3.684, 0.000], [0.000, 0.000, 7.590]],
  "species": ["Cl", "Te", "N", "N", "Co"],
  "frac_coords": [[0.000, 0.000, 0.000], [0.000, 0.000, 0.500], [0.000, 0.500, 0.000], [0.500, 0.000, 0.000], [0.500, 0.500, 0.500]],
  "relative_energy_mev_per_atom": 1167,
  "magnetic_moment_mub_per_cell": 3.0,
  "raw_formation_energy_ev_per_atom": 2.260,
  "space_group": "No. 123",
  "crystal_system": "tetragonal"
}

[5]
{
  "formula": "VCo2NCl",
  "functional": "PBE-GGA",
  "state": "optimized geometry",
  "lattice_angstrom": [[3.803, 0.000, 0.000], [0.000, 4.087, 0.000], [0.000, 0.000, 3.803]],
  "species": ["N", "Co", "Co", "Cl", "V"],
  "frac_coords": [[0.000, 0.000, 0.000], [0.000, 0.000, 0.500], [0.500, 0.000, 0.000], [0.500, 0.500, 0.500], [0.000, 0.500, 0.000]],
  "magnetic_moment_mub_per_cell": 2.6,
  "raw_formation_energy_ev_per_atom": 0.213,
  "space_group": "No. 123",
  "crystal_system": "tetragonal"
}

[6]
{
  "formula": "Na2CoCl4",
  "functional": "PBE-GGA",
  "state": "optimized geometry",
  "lattice_angstrom": [[4.719, 0.000, 0.000], [0.000, 4.719, 0.000], [-2.360, -2.360, 6.984]],
  "species": ["Na", "Cl", "Cl", "Na", "Cl", "Cl", "Co"],
  "frac_coords": [[0.637, 0.637, 0.273], [0.500, 0.000, 0.000], [0.000, 0.500, 0.000], [0.363, 0.363, 0.727], [0.166, 0.166, 0.331], [0.834, 0.834, 0.669], [0.000, 0.000, 0.000]],
  "relative_energy_mev_per_atom": 161,
  "magnetic_moment_mub_per_cell": 1.0,
  "raw_formation_energy_ev_per_atom": -1.122,
  "space_group": "No. 139",
  "crystal_system": "tetragonal"
}

[7]
{
  "formula": "Na6CoCl8",
  "functional": "PBE-GGA",
  "state": "optimized geometry",
  "lattice_angstrom": [[-6.956, 3.789, 0.820], [-5.730, -3.137, 4.555], [-1.881, 3.413, 6.945]],
  "species": ["Cl", "Cl", "Na", "Cl", "Cl", "Na", "Na", "Cl", "Na", "Cl", "Cl", "Na", "Co", "Cl", "Na"],
  "frac_coords": [[0.221, 0.221, 0.779], [0.779, 0.221, 0.779], [0.000, 0.500, 0.500], [0.221, 0.779, 0.221], [0.750, 0.750, 0.750], [0.500, 0.000, 0.000], [0.000, 0.000, 0.500], [0.250, 0.250, 0.250], [0.000, 0.500, 0.000], [0.221, 0.779, 0.779], [0.779, 0.221, 0.221], [0.500, 0.000, 0.500], [0.000, 0.000, 0.000], [0.779, 0.779, 0.221], [0.500, 0.500, 0.000]],
  "magnetic_moment_mub_per_cell": 3.0,
  "raw_formation_energy_ev_per_atom": -1.540,
  "space_group": "No. 225",
  "crystal_system": "cubic"
}

[8]
{
  "formula": "Na3CoCl",
  "functional": "PBE-GGA",
  "state": "optimized geometry",
  "lattice_angstrom": [[5.449, 0.000, 0.000], [0.000, 5.449, 0.000], [0.000, 0.000, 5.449]],
  "species": ["Na", "Cl", "Na", "Na", "Co"],
  "frac_coords": [[0.000, 0.500, 0.000], [0.500, 0.500, 0.500], [0.500, 0.000, 0.000], [0.000, 0.000, 0.500], [0.000, 0.000, 0.000]],
  "relative_energy_mev_per_atom": 207,
  "magnetic_moment_mub_per_cell": 1.3,
  "raw_formation_energy_ev_per_atom": 0.271,
  "space_group": "No. 221",
  "crystal_system": "cubic"
}

[9]
{
  "formula": "Na2CoCl4",
  "functional": "PBE-GGA",
  "state": "optimized geometry",
  "lattice_angstrom": [[-6.249, -2.962, 2.749], [2.082, -2.502, -6.692], [6.059, -2.638, 5.217]],
  "species": ["Na", "Na", "Na", "Na", "Cl", "Co", "Cl", "Cl", "Cl", "Cl", "Co", "Cl", "Cl", "Cl"],
  "frac_coords": [[0.577, 0.423, 0.250], [0.173, 0.827, 0.250], [0.827, 0.173, 0.750], [0.423, 0.577, 0.750], [0.748, 0.768, 0.095], [0.875, 0.125, 0.250], [0.232, 0.252, 0.405], [0.154, 0.674, 0.906], [0.768, 0.748, 0.595], [0.674, 0.154, 0.406], [0.125, 0.875, 0.750], [0.326, 0.846, 0.594], [0.846, 0.326, 0.094], [0.252, 0.232, 0.905]],
  "relative_energy_mev_per_atom": 26,
  "magnetic_moment_mub_per_cell": 6.0,
  "raw_formation_energy_ev_per_atom": -1.256,
  "space_group": "No. 70",
  "crystal_system": "orthorhombic"
}

[10]
{
  "formula": "NaCoCl2",
  "functional": "PBE-GGA",
  "state": "optimized geometry",
  "lattice_angstrom": [[-2.796, 2.222, 4.612], [2.319, -4.135, 3.399], [4.110, 2.343, 5.052]],
  "species": ["Co", "Cl", "Na", "Cl", "Cl", "Na", "Cl", "Co"],
  "frac_coords": [[0.000, 0.000, 0.000], [0.068, 0.625, 0.250], [0.250, 0.750, 0.500], [0.375, 0.318, 0.750], [0.875, 0.932, 0.750], [0.500, 0.500, 0.000], [0.682, 0.125, 0.250], [0.750, 0.250, 0.500]],
  "relative_energy_mev_per_atom": 0,
  "magnetic_moment_mub_per_cell": 4.0,
  "raw_formation_energy_ev_per_atom": -0.743,
  "space_group": "No. 122",
  "crystal_system": "tetragonal"
}

[11]
{
  "formula": "Na3Co2Cl8",
  "functional": "PBE-GGA",
  "state": "optimized geometry",
  "lattice_angstrom": [[-5.963, -4.736, 2.922], [5.048, -3.156, -6.197], [6.865, -3.951, 7.605]],
  "species": ["Cl", "Cl", "Cl", "Na", "Cl", "Cl", "Co", "Cl", "Cl", "Co", "Na", "Cl", "Cl", "Cl", "Na", "Co", "Na", "Cl", "Na", "Cl", "Cl", "Co", "Cl", "Na", "Cl", "Cl"],
  "frac_coords": [[0.997, 0.995, 0.257], [0.604, 0.756, 0.990], [0.652, 0.756, 0.510], [0.000, 0.000, 0.000], [0.497, 0.995, 0.243], [0.848, 0.244, 0.010], [0.381, 0.763, 0.879], [0.737, 0.474, 0.241], [0.763, 0.526, 0.741], [0.119, 0.237, 0.379], [0.389, 0.279, 0.750], [0.104, 0.756, 0.510], [0.503, 0.005, 0.757], [0.396, 0.244, 0.010], [0.611, 0.721, 0.250], [0.619, 0.237, 0.121], [0.111, 0.721, 0.250], [0.896, 0.244, 0.490], [0.889, 0.279, 0.750], [0.237, 0.474, 0.259], [0.263, 0.526, 0.759], [0.881, 0.763, 0.621], [0.152, 0.756, 0.990], [0.500, 0.000, 0.500], [0.348, 0.244, 0.490], [0.003, 0.005, 0.743]],
  "magnetic_moment_mub_per_cell": 14.0,
  "raw_formation_energy_ev_per_atom": -1.112,
  "space_group": "No. 64",
  "crystal_system": "orthorhombic"
}

[12]
{
  "formula": "NaCoCl2",
  "functional": "PBE-GGA",
  "state": "optimized geometry",
  "lattice_angstrom": [[2.296, 0.000, 7.418], [-1.148, 1.989, 7.418], [-1.148, -1.989, 7.418]],
  "species": ["Co", "Cl", "Cl", "Na"],
  "frac_coords": [[0.000, 0.000, 0.000], [0.097, 0.097, 0.097], [0.903, 0.903, 0.903], [0.500, 0.500, 0.500]],
  "relative_energy_mev_per_atom": 76,
  "magnetic_moment_mub_per_cell": 2.0,
  "raw_formation_energy_ev_per_atom": -0.667,
  "space_group": "No. 166",
  "crystal_system": "trigonal"
}